Below is crystalline AlBiSN2 at its relaxed geometry, with properties calculated at the PBE-GGA level.

The space group is P4/mmm (No. 123) and the conventional cell measures 3.874, 3.874 and 4.986 Å, with angles of 90.00, 90.00 and 90.00 degrees. The asymmetric unit holds Al at (0.000, 0.000, 0.000), Bi at (0.500, 0.500, 0.500), S at (0.000, 0.000, 0.500) and N at (0.000, 0.500, 0.000).

Its energy above the most stable polymorph in this dataset is 0.0 meV/atom. As for the formation energy (no corrections): 0.4857 eV per atom. For the density, the calculation gives 6.57 g/cm3. The calculation puts the volume at 14.964 A^3/atom.

---

Below is crystalline AlBiSeN2 at its relaxed geometry, with properties calculated at the PBE-GGA level.

The space group is P4/mmm (No. 123) and the conventional cell measures 4.280, 4.280 and 5.938 Å, with angles of 90.00, 90.00 and 90.00 degrees. The asymmetric unit holds Al at (0.000, 0.000, 0.000), Bi at (0.500, 0.500, 0.500), Se at (0.500, 0.500, 0.000) and N at (0.000, 0.500, 0.500).

Its energy above the most stable polymorph in this dataset is 831.3 meV/atom. As for the formation energy (no corrections): 1.4577 eV per atom. For the density, the calculation gives 5.23 g/cm3. The calculation puts the volume at 21.757 A^3/atom.

---

Below is crystalline AlBiSeN2 at its relaxed geometry, with properties calculated at the PBE-GGA level.

The space group is P4/mmm (No. 123) and the conventional cell measures 3.951, 3.951 and 5.185 Å, with angles of 90.00, 90.00 and 90.00 degrees. The asymmetric unit holds Al at (0.000, 0.000, 0.000), Bi at (0.500, 0.500, 0.500), Se at (0.000, 0.000, 0.500) and N at (0.000, 0.500, 0.000).

Its energy above the most stable polymorph in this dataset is 0.0 meV/atom. As for the formation energy (no corrections): 0.6264 eV per atom. For the density, the calculation gives 7.03 g/cm3. The calculation puts the volume at 16.193 A^3/atom.

---

Below is crystalline AlBiTe2N at its relaxed geometry, with properties calculated at the PBE-GGA level.

The space group is P4/mmm (No. 123) and the conventional cell measures 5.993, 5.993 and 4.381 Å, with angles of 90.00, 90.00 and 90.00 degrees. The asymmetric unit holds Al at (0.000, 0.000, 0.000), Bi at (0.500, 0.500, 0.500), Te at (0.000, 0.500, 0.500) and N at (0.500, 0.500, 0.000).

Its energy above the most stable polymorph in this dataset is 870.4 meV/atom. As for the formation energy (no corrections): 1.0520 eV per atom. For the density, the calculation gives 5.33 g/cm3. The calculation puts the volume at 31.468 A^3/atom.

---

Below is crystalline AlBiTe2N at its relaxed geometry, with properties calculated at the PBE-GGA level.

The space group is P4/mmm (No. 123) and the conventional cell measures 5.804, 5.804 and 3.538 Å, with angles of 90.00, 90.00 and 90.00 degrees. The asymmetric unit holds Al at (0.000, 0.000, 0.000), Bi at (0.500, 0.500, 0.500), Te at (0.000, 0.500, 0.000) and N at (0.000, 0.000, 0.500).

Its energy above the most stable polymorph in this dataset is 0.0 meV/atom. As for the formation energy (no corrections): 0.1816 eV per atom. For the density, the calculation gives 7.04 g/cm3. The calculation puts the volume at 23.837 A^3/atom.

---

Below is crystalline AlZnBiN2 at its relaxed geometry, with properties calculated at the PBE-GGA level.

The space group is P4/mmm (No. 123) and the conventional cell measures 4.052, 4.052 and 5.626 Å, with angles of 90.00, 90.00 and 90.00 degrees. The asymmetric unit holds Al at (0.000, 0.000, 0.000), Zn at (0.500, 0.500, 0.500), Bi at (0.500, 0.500, 0.000) and N at (0.000, 0.500, 0.500).

As for the formation energy (no corrections): 1.5297 eV per atom. For the density, the calculation gives 5.92 g/cm3. The calculation puts the volume at 18.472 A^3/atom.

---

Below is crystalline AlZnBi2N at its relaxed geometry, with properties calculated at the PBE-GGA level.

The space group is P4/mmm (No. 123) and the conventional cell measures 5.330, 5.330 and 3.781 Å, with angles of 90.00, 90.00 and 90.00 degrees. The asymmetric unit holds Al at (0.000, 0.000, 0.000), Zn at (0.500, 0.500, 0.000), Bi at (0.000, 0.500, 0.500) and N at (0.500, 0.500, 0.500).

As for the formation energy (no corrections): 0.4199 eV per atom. For the density, the calculation gives 8.11 g/cm3. The calculation puts the volume at 21.482 A^3/atom.

---

Below is crystalline Al2ZnBiN at its relaxed geometry, with properties calculated at the PBE-GGA level.

The space group is P4/mmm (No. 123) and the conventional cell measures 4.478, 4.478 and 5.563 Å, with angles of 90.00, 90.00 and 90.00 degrees. The asymmetric unit holds Al at (0.000, 0.500, 0.000), Zn at (0.000, 0.000, 0.000), Bi at (0.000, 0.000, 0.500) and N at (0.500, 0.500, 0.500).

As for the formation energy (no corrections): 1.3688 eV per atom. For the density, the calculation gives 5.10 g/cm3. The calculation puts the volume at 22.309 A^3/atom.

---

Below is crystalline Na3AlBi at its relaxed geometry, with properties calculated at the PBE-GGA level.

The space group is Pm-3m (No. 221) and the conventional cell measures 5.582, 5.582 and 5.582 Å, with angles of 90.00, 90.00 and 90.00 degrees. The asymmetric unit holds Na at (0.000, 0.000, 0.500), Al at (0.000, 0.000, 0.000) and Bi at (0.500, 0.500, 0.500).

As for the formation enthalpy at 0 K: 0.423 eV per atom. Its energy above the most stable polymorph in this dataset is 127.5 meV/atom. For the density, the calculation gives 2.91 g/cm3. The calculation puts the volume at 34.789 A^3/atom.

---

Below is crystalline NaAlBi2 at its relaxed geometry, with properties calculated at the PBE-GGA level.

The space group is P4/mmm (No. 123) and the conventional cell measures 4.964, 4.964 and 4.365 Å, with angles of 90.00, 90.00 and 90.00 degrees. The asymmetric unit holds Na at (0.000, 0.000, 0.000), Al at (0.500, 0.500, 0.000) and Bi at (0.000, 0.500, 0.500).

As for the formation enthalpy at 0 K: 0.001 eV per atom. For the density, the calculation gives 7.22 g/cm3. The calculation puts the volume at 26.896 A^3/atom.

---

Below is crystalline NaAl3Bi at its relaxed geometry, with properties calculated at the PBE-GGA level.

The space group is Pm-3m (No. 221) and the conventional cell measures 5.688, 5.688 and 5.688 Å, with angles of 90.00, 90.00 and 90.00 degrees. The asymmetric unit holds Na at (0.000, 0.000, 0.000), Al at (0.000, 0.500, 0.500) and Bi at (0.500, 0.500, 0.500).

As for the formation enthalpy at 0 K: 0.815 eV per atom. Its energy above the most stable polymorph in this dataset is 0.0 meV/atom. For the density, the calculation gives 2.82 g/cm3. The calculation puts the volume at 36.801 A^3/atom.

---

Below is crystalline NaAlBi2 at its relaxed geometry, with properties calculated at the PBE-GGA level.

The space group is P4/mmm (No. 123) and the conventional cell measures 3.988, 3.988 and 6.944 Å, with angles of 90.00, 90.00 and 90.00 degrees. The asymmetric unit holds Na at (0.000, 0.000, 0.000), Al at (0.000, 0.000, 0.500) and Bi at (0.500, 0.500, 0.276).

As for the formation enthalpy at 0 K: 0.000 eV per atom. For the density, the calculation gives 7.04 g/cm3. The calculation puts the volume at 27.604 A^3/atom.

---

Below is crystalline Na5Al2Bi4 at its relaxed geometry, with properties calculated at the PBE-GGA level.

The space group is C2/m (No. 12) and the conventional cell measures 13.512, 5.140 and 9.706 Å, with angles of 90.00, 90.76 and 90.00 degrees. The asymmetric unit holds Na at (0.000, 0.000, 0.000), Na at (0.161, 0.500, 0.447), Na at (0.176, 0.500, 0.058), Al at (0.004, 0.000, 0.366), Bi at (0.059, 0.500, 0.755) and Bi at (0.196, 0.000, 0.240).

As for the formation enthalpy at 0 K: -0.150 eV per atom. For the density, the calculation gives 4.95 g/cm3. The calculation puts the volume at 30.637 A^3/atom.

---

Below is crystalline Na2AlBi at its relaxed geometry, with properties calculated at the PBE-GGA level.

The space group is Fm-3m (No. 225) and the conventional cell measures 7.524, 7.524 and 7.524 Å, with angles of 90.00, 90.00 and 90.00 degrees. The asymmetric unit holds Na at (0.250, 0.250, 0.250), Al at (0.000, 0.000, 0.000) and Bi at (0.000, 0.000, 0.500).

As for the formation enthalpy at 0 K: -0.017 eV per atom. Its energy above the most stable polymorph in this dataset is 0.0 meV/atom. For the density, the calculation gives 4.40 g/cm3. The calculation puts the volume at 26.617 A^3/atom.

---

Below is crystalline Na3AlBi2 at its relaxed geometry, with properties calculated at the PBE-GGA level.

The space group is Ibam (No. 72) and the conventional cell measures 6.653, 15.593 and 7.052 Å, with angles of 90.00, 90.00 and 90.00 degrees. The asymmetric unit holds Na at (0.000, 0.000, 0.250), Na at (0.228, 0.175, 0.000), Al at (0.000, 0.500, 0.250) and Bi at (0.205, 0.385, 0.000).

As for the formation enthalpy at 0 K: -0.266 eV per atom. For the density, the calculation gives 4.67 g/cm3. The calculation puts the volume at 30.485 A^3/atom.

---

Below is crystalline Na2AlBi at its relaxed geometry, with properties calculated at the PBE-GGA level.

The space group is I-42d (No. 122) and the conventional cell measures 4.474, 4.474 and 22.383 Å, with angles of 90.00, 90.00 and 90.00 degrees. The asymmetric unit holds Na at (0.245, 0.250, 0.125), Al at (0.000, 0.000, 0.000) and Bi at (0.000, 0.000, 0.500).

As for the formation enthalpy at 0 K: 0.113 eV per atom. Its energy above the most stable polymorph in this dataset is 130.5 meV/atom. For the density, the calculation gives 4.18 g/cm3. The calculation puts the volume at 28.000 A^3/atom.

---

Below is crystalline NaAl2Bi2 at its relaxed geometry, with properties calculated at the PBE-GGA level.

The space group is I4/mmm (No. 139) and the conventional cell measures 5.348, 5.348 and 10.169 Å, with angles of 90.00, 90.00 and 90.00 degrees. The asymmetric unit holds Na at (0.000, 0.000, 0.000), Al at (0.000, 0.000, 0.374) and Bi at (0.000, 0.500, 0.250).

As for the formation enthalpy at 0 K: 0.033 eV per atom. Its energy above the most stable polymorph in this dataset is 25.2 meV/atom. For the density, the calculation gives 5.65 g/cm3. The calculation puts the volume at 29.086 A^3/atom.

---

Below is crystalline Na3Al2Bi4 at its relaxed geometry, with properties calculated at the PBE-GGA level.

The space group is C2/m (No. 12) and the conventional cell measures 14.203, 4.394 and 9.716 Å, with angles of 90.00, 113.52 and 90.00 degrees. The asymmetric unit holds Na at (0.000, 0.000, 0.000), Na at (0.118, 0.500, 0.687), Al at (0.213, 0.500, 0.367), Bi at (0.091, 0.000, 0.383) and Bi at (0.196, 0.500, 0.063).

As for the formation enthalpy at 0 K: -0.125 eV per atom. For the density, the calculation gives 5.73 g/cm3. The calculation puts the volume at 30.891 A^3/atom.

---

Below is crystalline NaAl4Bi at its relaxed geometry, with properties calculated at the PBE-GGA level.

The space group is F-43m (No. 216) and the conventional cell measures 8.038, 8.038 and 8.038 Å, with angles of 90.00, 90.00 and 90.00 degrees. The asymmetric unit holds Na at (0.000, 0.000, 0.000), Al at (0.126, 0.126, 0.626) and Bi at (0.250, 0.250, 0.250).

As for the formation enthalpy at 0 K: 0.124 eV per atom. For the density, the calculation gives 4.35 g/cm3. The calculation puts the volume at 21.636 A^3/atom.

---

Below is crystalline NaAlBi2 at its relaxed geometry, with properties calculated at the PBE-GGA level.

The space group is R-3m (No. 166, hexagonal axes) and the conventional cell measures 3.8681, 3.8681 and 26.8075 Å, with angles of 90.00, 90.00 and 120.00 degrees. The asymmetric unit holds Na at (0.0000, 0.0000, 0.0000), Al at (0.0000, 0.0000, 0.5000) and Bi at (0.0000, 0.0000, 0.2376).

As for the formation enthalpy at 0 K: -0.033 eV per atom. For the density, the calculation gives 6.71 g/cm3. The calculation puts the volume at 28.947 A^3/atom.